Material: SmDyOs
Method: DFT, PBE-GGA
State: relaxed

For the magnetic moment, the calculation gives 0.00 μB/f.u. The formation enthalpy at 0 K comes out at -0.15 eV/atom.

Structure (POSCAR):
```
SmDyOs
1.0
-5.033 2.094 2.357
-2.734 0.912 -6.650
-1.754 -7.108 2.568
Dy Sm Os
4 4 4
Direct
0.376 0.119 0.858
0.124 0.119 0.358
0.624 0.881 0.142
0.876 0.881 0.642
0.677 0.419 0.316
0.823 0.419 0.816
0.323 0.581 0.684
0.177 0.581 0.184
0.608 0.149 0.500
0.892 0.149 0.000
0.392 0.851 0.500
0.108 0.851 0.000
```